Below is a relaxed structure of YAgTe2, with properties calculated at the PBEsol level.

a b c (Å): 3.848 3.836 7.192
angles (deg): 90.00 100.68 90.00
Space group P2/m (No. 10)
One atom of each set of equivalent atoms:
Y1 0.000 0.000 0.000 (multiplicity 1)
Ag1 0.000 0.000 0.500 (multiplicity 1)
Te1 0.371 0.500 0.756 (multiplicity 2)

* density of states at the Fermi level: 1.6 states/eV per cell
* crystal system: monoclinic
* raw formation energy: -692.4 meV per atom